Record 1
4
Lattice="3.606 0.000 0.000 0.000 3.818 0.000 0.000 0.000 3.828" Properties=species:S:1:pos:R:3 comment="GaCuNiPt | the Alexandria database | PBE | relaxed" ef_ev_per_atom=-0.390 crystal_system=orthorhombic pbc="T T T"
Ga 0.000 0.000 0.000
Cu 0.000 1.909 1.914
Ni 1.803 1.909 0.000
Pt 1.803 0.000 1.914

---

Record 2
16
Lattice="7.289 0.000 0.000 0.000 7.289 0.000 0.000 0.000 7.289" Properties=species:S:1:pos:R:3 comment="TbScGaPb | the Alexandria database | PBE | relaxed" ef_ev_per_atom=-0.385 crystal_system=cubic pbc="T T T"
Tb 0.000 0.000 0.000
Tb 0.000 3.644 3.644
Tb 3.644 0.000 3.644
Tb 3.644 3.644 0.000
Sc 0.000 0.000 3.644
Sc 0.000 3.644 0.000
Sc 3.644 0.000 0.000
Sc 3.644 3.644 3.644
Ga 1.822 1.822 1.822
Ga 1.822 5.466 5.466
Ga 5.466 1.822 5.466
Ga 5.466 5.466 1.822
Pb 1.822 1.822 5.466
Pb 1.822 5.466 1.822
Pb 5.466 1.822 1.822
Pb 5.466 5.466 5.466

---

Record 3
3
Lattice="4.662 0.000 0.000 -2.331 4.037 0.000 0.000 0.000 4.241" Properties=species:S:1:pos:R:3 comment="SrCuSn | the Alexandria database | PBE | relaxed" ef_ev_per_atom=-0.406 crystal_system=trigonal pbc="T T T"
Sr 0.000 0.000 0.000
Cu 0.000 2.692 2.126
Sn 2.331 1.346 2.120

---

Record 4
8
Lattice="2.956 0.000 0.000 0.000 4.761 0.000 0.000 0.000 9.674" Properties=species:S:1:pos:R:3 comment="AgRh2Br | the Alexandria database | PBE | relaxed" de_polymorph_mev_per_atom=220 e_form_raw_ev_per_atom=0.52 crystal_system=orthorhombic pbc="T T T"
Ag 0.000 0.000 0.000
Ag 1.478 2.380 4.837
Rh 0.000 0.000 4.849
Rh 0.000 2.380 7.436
Rh 1.478 0.000 2.599
Rh 1.478 2.380 0.012
Br 0.000 2.380 2.142
Br 1.478 0.000 6.979

---

Record 5
5
Lattice="5.022 0.000 0.000 0.000 5.022 0.000 0.000 0.000 5.358" Properties=species:S:1:pos:R:3 comment="Mn2TePbSe | the Alexandria database | PBE | relaxed" e_form_raw_ev_per_atom=1.82 crystal_system=tetragonal pbc="T T T"
Mn 0.000 2.511 0.000
Mn 2.511 0.000 0.000
Te 0.000 0.000 2.679
Pb 2.511 2.511 0.000
Se 2.511 2.511 2.679

---

Record 6
16
Lattice="6.087 0.000 0.000 0.000 6.087 0.000 0.000 0.000 6.087" Properties=species:S:1:pos:R:3 comment="ZnPbC2 | the Alexandria database | PBE | relaxed" de_polymorph_mev_per_atom=691 ef_ev_per_atom=2.298 crystal_system=cubic pbc="T T T"
Zn 0.000 0.000 0.000
Zn 0.000 3.044 3.044
Zn 3.044 0.000 3.044
Zn 3.044 3.044 0.000
Pb 0.000 0.000 3.044
Pb 0.000 3.044 0.000
Pb 3.044 0.000 0.000
Pb 3.044 3.044 3.044
C 1.522 1.522 1.522
C 1.522 1.522 4.565
C 1.522 4.565 1.522
C 1.522 4.565 4.565
C 4.565 1.522 1.522
C 4.565 1.522 4.565
C 4.565 4.565 1.522
C 4.565 4.565 4.565

---

Record 7
5
Lattice="4.651 0.000 0.000 0.000 4.651 0.000 0.000 0.000 4.651" Properties=species:S:1:pos:R:3 comment="PbBrF3 | the Alexandria database | PBE | relaxed" de_polymorph_mev_per_atom=802 e_form_raw_ev_per_atom=-0.75 crystal_system=cubic pbc="T T T"
Pb 0.000 0.000 0.000
Br 2.325 2.325 2.325
F 0.000 2.325 2.325
F 2.325 0.000 2.325
F 2.325 2.325 0.000

---

Record 8
14
Lattice="4.568 0.000 0.000 0.000 4.568 0.000 0.000 0.000 13.171" Properties=species:S:1:pos:R:3 comment="ZnTe2Os4 | the Alexandria database | PBE | relaxed" e_form_raw_ev_per_atom=1.72 crystal_system=tetragonal pbc="T T T"
Zn 0.000 0.000 0.000
Zn 2.284 2.284 6.586
Te 0.000 0.000 4.951
Te 0.000 0.000 8.220
Te 2.284 2.284 1.634
Te 2.284 2.284 11.537
Os 0.000 0.000 2.480
Os 0.000 0.000 10.692
Os 0.000 2.284 0.000
Os 0.000 2.284 6.586
Os 2.284 0.000 0.000
Os 2.284 0.000 6.586
Os 2.284 2.284 4.106
Os 2.284 2.284 9.065

---

Record 9
8
Lattice="7.851 0.000 0.000 0.000 4.234 0.000 -2.499 0.000 7.631" Properties=species:S:1:pos:R:3 comment="Pr4TeIrBr2 | the Alexandria database | PBE | relaxed" e_form_raw_ev_per_atom=-1.17 crystal_system=monoclinic pbc="T T T"
Pr 1.079 0.000 1.556
Pr -0.184 2.117 5.918
Pr 5.536 2.117 1.713
Pr 4.273 0.000 6.074
Te -1.250 0.000 3.815
Ir 0.000 2.117 0.000
Br 3.925 0.000 0.000
Br 2.676 2.117 3.815

---

Record 10
16
Lattice="5.923 -5.635 0.000 5.923 5.635 0.000 -5.771 0.000 6.326" Properties=species:S:1:pos:R:3 comment="BaLi2SiSe4 | the Alexandria database | PBE | relaxed" e_form_raw_ev_per_atom=-0.84 crystal_system=monoclinic pbc="T T T"
Ba 2.961 2.817 0.000
Ba 0.076 -2.817 3.163
Li 0.000 0.000 0.000
Li -2.885 0.000 3.163
Li 0.076 2.817 3.163
Li 2.961 -2.817 0.000
Si 5.923 0.000 0.000
Si 3.037 0.000 3.163
Se -0.515 0.240 3.942
Se 2.747 2.341 3.174
Se 2.371 -0.240 0.779
Se 0.443 2.341 6.315
Se 5.632 -2.341 0.011
Se 3.704 0.240 5.547
Se 3.328 -2.341 3.152
Se 6.590 -0.240 2.384

---

Record 11
6
Lattice="0.000 4.172 4.172 4.172 0.000 4.172 4.172 4.172 0.000" Properties=species:S:1:pos:R:3 comment="YMgCl4 | the Alexandria database | PBE | relaxed" de_polymorph_mev_per_atom=1572 e_form_raw_ev_per_atom=-0.29 crystal_system=cubic pbc="T T T"
Y 0.000 0.000 0.000
Mg 2.086 2.086 2.086
Cl 5.216 3.129 3.129
Cl 3.129 5.216 3.129
Cl 3.129 3.129 5.216
Cl 5.216 5.216 5.216

---

Record 12
11
Lattice="4.793 0.000 0.000 0.000 4.793 0.000 0.000 0.000 12.821" Properties=species:S:1:pos:R:3 comment="Ac2In8Co | the Alexandria database | PBE | relaxed" ef_ev_per_atom=-0.271 crystal_system=tetragonal pbc="T T T"
Ac 0.000 0.000 2.538
Ac 0.000 0.000 10.283
In 0.000 2.397 0.000
In 0.000 2.397 4.980
In 0.000 2.397 7.841
In 2.397 0.000 0.000
In 2.397 0.000 4.980
In 2.397 0.000 7.841
In 2.397 2.397 2.486
In 2.397 2.397 10.336
Co 0.000 0.000 6.411

---

no.,DFT total energy (eV/cell)
1,-20.5
2,-76.9
3,-11.0
4,-34.3
5,-19.6
6,-56.9
7,-14.8
8,-80.9
9,-43.8
10,-63.7
11,-17.2
12,-40.2